(1)
# MgSn2W | the Alexandria database | PBE-GGA | optimized geometry
# Crystal system: tetragonal
# N(E_F), states/eV per atom: 0.219
# VASP energy, eV per atom: -4.5685
data_MgSn2W
_chemical_formula_sum 'Mg4 Sn8 W4'
_cell_length_a 6.7407
_cell_length_b 6.7407
_cell_length_c 11.4950
_cell_angle_alpha 90.00
_cell_angle_beta 90.00
_cell_angle_gamma 90.00
_symmetry_space_group_name_H-M 'I -4 2 d'
_symmetry_Int_Tables_number 122
_symmetry_space_group_name_Hall 'I -4 2bw'
loop_
_atom_site_label
_atom_site_fract_x
_atom_site_fract_y
_atom_site_fract_z
Mg1 0.0000 0.0000 0.0000
Sn1 0.2128 0.2500 0.6250
W1 0.0000 0.0000 0.5000



(2)
# Mg14SnW | the Alexandria database | PBE-GGA | optimized geometry
# Crystal system: orthorhombic
# ΔE to the lowest computed polymorph, meV per atom: 8
# N(E_F), states/eV per atom: 0.532
data_Mg14SnW
_chemical_formula_sum 'Mg28 Sn2 W2'
_cell_length_a 10.2603
_cell_length_b 6.1753
_cell_length_c 10.9124
_cell_angle_alpha 90.00
_cell_angle_beta 90.00
_cell_angle_gamma 90.00
_symmetry_space_group_name_H-M 'A m m 2'
_symmetry_Int_Tables_number 38
loop_
_symmetry_equiv_pos_as_xyz
'x,y,z'
'-x,-y,z'
'-x,y,z'
'x,-y,z'
'x,y+1/2,z+1/2'
'-x,-y+1/2,z+1/2'
'-x,y+1/2,z+1/2'
'x,-y+1/2,z+1/2'
loop_
_atom_site_label
_atom_site_fract_x
_atom_site_fract_y
_atom_site_fract_z
Mg1 0.0000 0.0000 0.0000
Mg2 0.0000 0.0000 0.4986
Mg3 0.0000 0.2477 0.2508
Mg4 0.2435 0.0000 0.6663
Mg5 0.2592 0.0000 0.1595
Mg6 0.2597 0.2424 0.9164
Mg7 0.5000 0.2493 0.7492
Sn1 0.5000 0.0000 0.5048
W1 0.5000 0.0000 0.9992



| no. | total magnetization (μB/f.u.) |
| --- | --- |
| 1 | 0.000 |
| 2 | 1.143 |